A plane-wave DFT calculation with GGA+U was carried out for a relaxed structure of TmV2TcO8.

Computed properties:
Total DFT energy (no corrections) = -94.9 eV for the cell shown
Total moment = 4.01 μB/f.u.

Structure (POSCAR):
```
TmV2TcO8
1.0
4.686 0.032 -0.002
0.075 4.684 -0.005
0.004 0.007 6.293
Tm V Tc O
1 2 1 8
direct
0.000 0.000 0.500
0.500 0.500 0.746
0.500 0.500 0.254
0.000 0.000 0.000
0.211 0.789 0.223
0.707 0.707 0.000
0.789 0.211 0.223
0.789 0.211 0.777
0.293 0.293 0.000
0.211 0.789 0.777
0.678 0.679 0.500
0.322 0.321 0.500
```